A crystal of OsAu3O relaxed with PBEsol, computed with meta-GGA SCAN.

Cell: 4.2698 4.2698 4.2698 Å, 90.00 90.00 90.00°
Fractional coordinates of all 5 atoms:
Os 0.0000 0.0000 0.0000
Au 0.0000 0.5000 0.5000
Au 0.5000 0.0000 0.5000
Au 0.5000 0.5000 0.0000
O 0.5000 0.5000 0.5000

total moment: 0.36 μB/atom
DOS(E_F): 3.36 states/eV per cell
volume: 15.6 A^3/atom
formation energy from raw total energies: 1.215 eV per atom
energy: -279.5 eV/cell

---

A crystal of KTe2Cl relaxed with PBEsol, computed with meta-GGA SCAN.

Cell: 4.1462 4.1698 15.1146 Å, 90.00 90.00 90.00°
Fractional coordinates of all 8 atoms:
K 0.0000 0.0000 0.0000
K 0.5000 0.5000 0.5000
Te 0.0000 0.5000 0.2737
Te 0.0000 0.5000 0.7263
Te 0.5000 0.0000 0.2263
Te 0.5000 0.0000 0.7737
Cl 0.0000 0.0000 0.5000
Cl 0.5000 0.5000 0.0000

total moment: 0.00 μB/atom
DOS(E_F): 2.49 states/eV per cell
volume: 32.7 A^3/atom
energy above the lowest structure with this stoichiometry: 0 meV per atom
formation energy from raw total energies: -0.949 eV per atom
energy: -189.2 eV/cell

---

A crystal of ScAl2Ru relaxed with PBEsol, computed with meta-GGA SCAN.

Cell: 3.1892 4.5268 8.8174 Å, 90.00 90.00 90.00°
Fractional coordinates of all 8 atoms:
Sc 0.0000 0.0000 0.0000
Sc 0.5000 0.5000 0.5000
Al 0.0000 0.5000 0.2295
Al 0.0000 0.5000 0.7705
Al 0.5000 0.0000 0.2705
Al 0.5000 0.0000 0.7295
Ru 0.0000 0.0000 0.5000
Ru 0.5000 0.5000 0.0000

total moment: 0.00 μB/atom
DOS(E_F): 4.85 states/eV per cell
volume: 15.9 A^3/atom
DFT formation energy: -0.521 eV/atom
energy: -133.3 eV/cell

---

A crystal of BaNbSN2 relaxed with PBEsol, computed with meta-GGA SCAN.

Cell: 4.2708 4.2708 5.7701 Å, 90.00 90.00 90.00°
Fractional coordinates of all 5 atoms:
Ba 0.0000 0.0000 0.0000
Nb 0.5000 0.5000 0.5000
S 0.0000 0.0000 0.5000
N 0.0000 0.5000 0.0000
N 0.5000 0.0000 0.0000

total moment: 0.33 μB/atom
DOS(E_F): 3.21 states/eV per cell
volume: 21.0 A^3/atom
formation energy from raw total energies: 1.755 eV per atom
energy: -92.1 eV/cell

---

A crystal of RbTiAsO5 relaxed with PBEsol, computed with meta-GGA SCAN.

Cell: 13.2877 6.6939 10.7748 Å, 90.00 90.00 90.00°
Fractional coordinates of all 64 atoms:
Rb 0.1109 0.1927 0.0000
Rb 0.1200 0.7805 0.2498
Rb 0.3800 0.2805 0.7498
Rb 0.3891 0.6927 0.5000
Rb 0.6109 0.3073 0.0000
Rb 0.6200 0.7195 0.2498
Rb 0.8800 0.2195 0.7498
Rb 0.8891 0.8073 0.5000
Ti 0.1276 0.5043 0.5651
Ti 0.2468 0.7630 0.8160
Ti 0.2532 0.2630 0.3160
Ti 0.3724 0.0043 0.0651
Ti 0.6276 0.9957 0.5651
Ti 0.7468 0.7370 0.8160
Ti 0.7532 0.2370 0.3160
Ti 0.8724 0.4957 0.0651
As 0.0006 0.3309 0.3115
As 0.1792 0.0070 0.5589
As 0.3208 0.5070 0.0589
As 0.4994 0.8309 0.8115
As 0.5006 0.1691 0.3115
As 0.6792 0.4930 0.5589
As 0.8208 0.9930 0.0589
As 0.9994 0.6691 0.8115
O 0.0094 0.5339 0.6771
O 0.0125 0.4959 0.4296
O 0.1011 0.8236 0.8344
O 0.1056 0.1855 0.2899
O 0.1056 0.2086 0.5918
O 0.1077 0.8036 0.5223
O 0.2169 0.4480 0.4329
O 0.2172 0.5650 0.6820
O 0.2406 0.5413 0.9350
O 0.2421 0.4636 0.1818
O 0.2579 0.9636 0.6818
O 0.2594 0.0413 0.4350
O 0.2828 0.0650 0.1820
O 0.2831 0.9480 0.9329
O 0.3923 0.3036 0.0223
O 0.3944 0.6855 0.7899
O 0.3944 0.7086 0.0918
O 0.3989 0.3236 0.3344
O 0.4875 0.9959 0.9296
O 0.4906 0.0339 0.1771
O 0.5094 0.9661 0.6771
O 0.5125 0.0041 0.4296
O 0.6011 0.6764 0.8344
O 0.6056 0.2914 0.5918
O 0.6056 0.3145 0.2899
O 0.6077 0.6964 0.5223
O 0.7169 0.0520 0.4329
O 0.7172 0.9350 0.6820
O 0.7406 0.9587 0.9350
O 0.7421 0.0364 0.1818
O 0.7579 0.5364 0.6818
O 0.7594 0.4587 0.4350
O 0.7828 0.4350 0.1820
O 0.7831 0.5520 0.9329
O 0.8923 0.1964 0.0223
O 0.8944 0.7914 0.0918
O 0.8944 0.8145 0.7899
O 0.8989 0.1764 0.3344
O 0.9875 0.5041 0.9296
O 0.9906 0.4661 0.1771

total moment: 0.00 μB/atom
DOS(E_F): 0.00 states/eV per cell
volume: 15.0 A^3/atom
formation energy from raw total energies: -2.346 eV per atom
energy: -855.1 eV/cell

---

A crystal of Zr3GaO relaxed with PBEsol, computed with meta-GGA SCAN.

Cell: 4.3823 4.3823 4.3823 Å, 90.00 90.00 90.00°
Fractional coordinates of all 5 atoms:
Zr 0.0000 0.0000 0.5000
Zr 0.0000 0.5000 0.0000
Zr 0.5000 0.0000 0.0000
Ga 0.5000 0.5000 0.5000
O 0.0000 0.0000 0.0000

total moment: 0.00 μB/atom
DOS(E_F): 5.68 states/eV per cell
volume: 16.8 A^3/atom
formation energy from raw total energies: -1.292 eV per atom
energy: -121.1 eV/cell

---

A crystal of CrFe2Tc relaxed with PBEsol, computed with meta-GGA SCAN.

Cell: 2.9386 3.9339 8.1215 Å, 90.00 90.00 90.00°
Fractional coordinates of all 8 atoms:
Cr 0.0000 0.0000 0.0000
Cr 0.5000 0.5000 0.5000
Fe 0.0000 0.5000 0.2550
Fe 0.0000 0.5000 0.7450
Fe 0.5000 0.0000 0.2450
Fe 0.5000 0.0000 0.7550
Tc 0.0000 0.0000 0.5000
Tc 0.5000 0.5000 0.0000

total moment: 1.18 μB/atom
DOS(E_F): 6.28 states/eV per cell
volume: 11.7 A^3/atom
DFT formation energy: 0.052 eV/atom
energy: -179.0 eV/cell

---

A crystal of CaSeBr2 relaxed with PBEsol, computed with meta-GGA SCAN.

Cell: 5.2241 4.2842 5.5462 Å, 90.00 101.29 90.00°
Fractional coordinates of all 4 atoms:
Ca 0.0000 0.0000 0.0000
Se 0.3765 0.5000 0.1578
Br 0.0168 0.0000 0.5017
Br 0.5953 0.5000 0.8147

total moment: 0.00 μB/atom
DOS(E_F): 0.00 states/eV per cell
volume: 30.4 A^3/atom
energy above the lowest structure with this stoichiometry: 0 meV per atom
formation energy from raw total energies: -1.304 eV per atom
energy: -73.9 eV/cell